No. 1
Lu4B3C4: single point on PBEsol structure, SCAN.

Unit cell a=3.3703 b=3.4574 c=11.6917 alpha=92.80 beta=97.98 gamma=90.02
Closest atoms and distances in Å follow each position.
Fractional positions:
Lu: 0.0764 0.4449 0.1405  5 C 2.19-2.43
Lu: 0.3227 0.0240 0.6513  5 C 2.42-2.59
Lu: 0.6773 0.9760 0.3487  5 C 2.42-2.59
Lu: 0.9236 0.5551 0.8595  5 C 2.19-2.43
B: 0.2305 0.4937 0.4601  1 C 1.50
B: 0.5000 0.0000 0.0000  2 C 1.47
B: 0.7695 0.5063 0.5399  1 C 1.50
C: 0.1683 0.4726 0.3302  1 B 1.50
C: 0.4306 0.0614 0.8754  1 B 1.47
C: 0.5694 0.9386 0.1246  1 B 1.47
C: 0.8317 0.5274 0.6698  1 B 1.50

Summary:
- density of states at the Fermi level (states/eV per atom) = 0.153
- formation enthalpy at 0 K (eV/atom) = -0.67



No. 2
Lu3BC3: single point on PBEsol structure, SCAN.

Unit cell a=3.4851 b=3.4851 c=15.5602 alpha=90.00 beta=90.00 gamma=90.39
Closest atoms and distances in Å follow each position.
Fractional positions:
Lu: 0.0800 0.9200 0.6034  5 C 2.28-2.53
Lu: 0.0800 0.9200 0.8966  5 C 2.28-2.53
Lu: 0.4127 0.5873 0.2500  6 C 2.44-2.50
Lu: 0.5873 0.4127 0.7500  6 C 2.44-2.50
Lu: 0.9200 0.0800 0.1034  5 C 2.28-2.53
Lu: 0.9200 0.0800 0.3966  5 C 2.28-2.53
B: 0.5000 0.5000 0.0000  2 C 1.46
B: 0.5000 0.5000 0.5000  2 C 1.46
C: 0.0934 0.9066 0.7500  6 Lu 2.28-2.50
C: 0.4097 0.5903 0.0893  1 B 1.46
C: 0.4097 0.5903 0.4107  1 B 1.46
C: 0.5903 0.4097 0.5893  1 B 1.46
C: 0.5903 0.4097 0.9107  1 B 1.46
C: 0.9066 0.0934 0.2500  6 Lu 2.28-2.50

Summary:
- density of states at the Fermi level (states/eV per atom) = 0.105
- formation enthalpy at 0 K (eV/atom) = -0.66



No. 3
LuB2C2: single point on PBEsol structure, SCAN.

Unit cell a=5.2968 b=5.2968 c=3.3619 alpha=90.00 beta=90.00 gamma=90.00
Closest atoms and distances in Å follow each position.
Fractional positions:
Lu: 0.0000 0.0000 0.0000  8 C 2.60, 8 B 2.66
Lu: 0.5000 0.5000 0.0000  8 C 2.60, 8 B 2.66
B: 0.1352 0.3648 0.5000  3 C 1.51-1.59
B: 0.3648 0.8648 0.5000  3 C 1.51-1.59
B: 0.6352 0.1352 0.5000  3 C 1.51-1.59
B: 0.8648 0.6352 0.5000  3 C 1.51-1.59
C: 0.1633 0.6633 0.5000  3 B 1.51-1.59
C: 0.3367 0.1633 0.5000  3 B 1.51-1.59
C: 0.6633 0.8367 0.5000  3 B 1.51-1.59
C: 0.8367 0.3367 0.5000  3 B 1.51-1.59

Summary:
- density of states at the Fermi level (states/eV per atom) = 0.157
- formation enthalpy at 0 K (eV/atom) = -0.53



No. 4
MgB2CS: single point on PBEsol structure, SCAN.

Unit cell a=4.3757 b=4.3757 c=4.0236 alpha=90.00 beta=90.00 gamma=90.00
Closest atoms and distances in Å follow each position.
Fractional positions:
Mg: 0.0000 0.0000 0.0000  2 C 2.01, 4 B 2.19
B: 0.0000 0.5000 0.0000  2 Mg 2.19
B: 0.5000 0.0000 0.0000  2 Mg 2.19
C: 0.0000 0.0000 0.5000  2 Mg 2.01
S: 0.5000 0.5000 0.5000  8 B 2.97, 4 C 3.09

Summary:
- density of states at the Fermi level (states/eV per atom) = 0.419
- formation energy from raw total energies (eV per atom) = 2.75



No. 5
Mg2BCSe: single point on PBEsol structure, SCAN.

Unit cell a=4.9695 b=4.9695 c=3.8479 alpha=90.00 beta=90.00 gamma=90.00
Closest atoms and distances in Å follow each position.
Fractional positions:
Mg: 0.0000 0.5000 0.0000  2 Se 2.48
Mg: 0.5000 0.0000 0.0000  2 Se 2.48
B: 0.0000 0.0000 0.5000  8 Mg 3.14, 4 C 3.51
C: 0.5000 0.5000 0.5000  2 Se 1.92
Se: 0.5000 0.5000 0.0000  2 C 1.92

Summary:
- density of states at the Fermi level (states/eV per atom) = 0.552
- formation energy from raw total energies (eV per atom) = 1.67



No. 6
Mg3Si9B36C: single point on PBEsol structure, SCAN.

Unit cell a=7.9692 b=7.9692 c=7.9692 alpha=78.36 beta=78.36 gamma=78.36
Closest atoms and distances in Å follow each position.
Fractional positions:
Mg: 0.1671 0.1671 0.6658  12 B 2.69-2.97, 4 Si 2.83
Mg: 0.1671 0.6658 0.1671  12 B 2.69-2.97, 4 Si 2.83
Mg: 0.6658 0.1671 0.1671  12 B 2.69-2.97, 4 Si 2.83
Si: 0.0098 0.4022 0.4022  3 B 2.03-2.04
Si: 0.0899 0.0899 0.0899  4 Si 2.35-2.37
Si: 0.2337 0.2337 0.2337  4 Si 2.35-2.36
Si: 0.3227 0.9256 0.9256  3 B 2.04-2.05
Si: 0.4022 0.0098 0.4022  3 B 2.03-2.04
Si: 0.4022 0.4022 0.0098  3 B 2.03-2.04
Si: 0.7089 0.7089 0.7089  1 C 1.82, 3 B 1.94
Si: 0.9256 0.3227 0.9256  3 B 2.04-2.05
Si: 0.9256 0.9256 0.3227  3 B 2.04-2.05
B: 0.0409 0.6841 0.8647  6 B 1.77-1.82
B: 0.0409 0.8647 0.6841  6 B 1.77-1.82
B: 0.0846 0.4860 0.7726  5 B 1.75-1.82
B: 0.0846 0.7726 0.4860  5 B 1.75-1.82
B: 0.1086 0.5388 0.5388  5 B 1.74-1.80
B: 0.2312 0.7860 0.7860  5 B 1.78-1.85
B: 0.2544 0.5553 0.8388  5 B 1.77-1.82
B: 0.2544 0.8388 0.5553  5 B 1.77-1.82
B: 0.2924 0.4621 0.6418  6 B 1.71-1.82
B: 0.2924 0.6418 0.4621  6 B 1.71-1.82
B: 0.3893 0.6472 0.6472  1 C 1.61, 2 B 1.80
B: 0.4621 0.2924 0.6418  6 B 1.71-1.82
B: 0.4621 0.6418 0.2924  6 B 1.71-1.82
B: 0.4860 0.0846 0.7726  5 B 1.75-1.82
B: 0.4860 0.7726 0.0846  5 B 1.75-1.82
B: 0.5388 0.1086 0.5388  5 B 1.74-1.80
B: 0.5388 0.5388 0.1086  5 B 1.74-1.80
B: 0.5553 0.2544 0.8388  5 B 1.77-1.82
B: 0.5553 0.8388 0.2544  5 B 1.77-1.82
B: 0.6418 0.2924 0.4621  6 B 1.71-1.82
B: 0.6418 0.4621 0.2924  6 B 1.71-1.82
B: 0.6472 0.3893 0.6472  1 C 1.61, 2 B 1.80
B: 0.6472 0.6472 0.3893  1 C 1.61, 2 B 1.80
B: 0.6708 0.6708 0.9614  5 B 1.74-1.81, 1 Si 1.94
B: 0.6708 0.9614 0.6708  5 B 1.74-1.81, 1 Si 1.94
B: 0.6841 0.0409 0.8647  6 B 1.77-1.82
B: 0.6841 0.8647 0.0409  6 B 1.77-1.82
B: 0.7726 0.0846 0.4860  5 B 1.75-1.82
B: 0.7726 0.4860 0.0846  5 B 1.75-1.82
B: 0.7860 0.2312 0.7860  5 B 1.78-1.85
B: 0.7860 0.7860 0.2312  5 B 1.78-1.85
B: 0.8388 0.2544 0.5553  5 B 1.77-1.82
B: 0.8388 0.5553 0.2544  5 B 1.77-1.82
B: 0.8647 0.0409 0.6841  6 B 1.77-1.82
B: 0.8647 0.6841 0.0409  6 B 1.77-1.82
B: 0.9614 0.6708 0.6708  5 B 1.74-1.81, 1 Si 1.94
C: 0.5974 0.5974 0.5974  3 B 1.61

Summary:
- formation energy from raw total energies (eV per atom) = -0.15



No. 7
MnBC2: single point on PBEsol structure, SCAN.

Unit cell a=4.9328 b=4.9328 c=4.9328 alpha=130.68 beta=130.68 gamma=72.32
Closest atoms and distances in Å follow each position.
Fractional positions:
Mn: 0.0000 0.0000 0.0000  4 C 1.87
Mn: 0.7500 0.2500 0.5000  4 C 1.87
B: 0.2500 0.7500 0.5000  4 C 1.66
B: 0.5000 0.5000 0.0000  4 C 1.66
C: 0.1686 0.6250 0.0436  2 B 1.66
C: 0.3750 0.4186 0.5436  2 B 1.66
C: 0.5814 0.1250 0.9564  2 B 1.66
C: 0.8750 0.8314 0.4564  2 B 1.66

Summary:
- density of states at the Fermi level (states/eV per atom) = 0.092
- formation enthalpy at 0 K (eV/atom) = 0.44



No. 8
Mn2NbBC: single point on PBEsol structure, SCAN.

Unit cell a=4.7289 b=4.7289 c=3.9994 alpha=90.00 beta=90.00 gamma=90.00
Closest atoms and distances in Å follow each position.
Fractional positions:
Mn: 0.0000 0.5000 0.0000  2 Nb 2.36
Mn: 0.5000 0.0000 0.0000  2 Nb 2.36
Nb: 0.0000 0.0000 0.0000  2 C 2.00
B: 0.5000 0.5000 0.5000  8 Mn 3.10, 4 C 3.34
C: 0.0000 0.0000 0.5000  2 Nb 2.00

Summary:
- density of states at the Fermi level (states/eV per atom) = 0.691
- formation enthalpy at 0 K (eV/atom) = 2.18



No. 9
Sc2MnBC: single point on PBEsol structure, SCAN.

Unit cell a=4.6280 b=4.6280 c=3.5721 alpha=90.00 beta=90.00 gamma=90.00
Closest atoms and distances in Å follow each position.
Fractional positions:
Sc: 0.0000 0.5000 0.0000  2 Mn 2.31
Sc: 0.5000 0.0000 0.0000  2 Mn 2.31
Mn: 0.0000 0.0000 0.0000  2 C 1.79
B: 0.5000 0.5000 0.5000  8 Sc 2.92, 4 C 3.27
C: 0.0000 0.0000 0.5000  2 Mn 1.79

Summary:
- density of states at the Fermi level (states/eV per atom) = 0.627
- formation enthalpy at 0 K (eV/atom) = 0.89



No. 10
BMo2C: single point on PBEsol structure, SCAN.

Unit cell a=8.8123 b=8.8123 c=3.0447 alpha=90.00 beta=90.00 gamma=159.88
Closest atoms and distances in Å follow each position.
Fractional positions:
B: 0.0282 0.9718 0.7500  2 B 1.81
B: 0.9718 0.0282 0.2500  2 B 1.81
Mo: 0.1855 0.8145 0.7500  5 C 2.14-2.17
Mo: 0.4278 0.5722 0.7500  1 C 2.07, 4 B 2.30
Mo: 0.5722 0.4278 0.2500  1 C 2.07, 4 B 2.30
Mo: 0.8145 0.1855 0.2500  5 C 2.14-2.17
C: 0.3086 0.6914 0.7500  6 Mo 2.07-2.17
C: 0.6914 0.3086 0.2500  6 Mo 2.07-2.17

Summary:
- density of states at the Fermi level (states/eV per atom) = 0.317
- formation enthalpy at 0 K (eV/atom) = -0.23



No. 11
BMoPtC2: single point on PBEsol structure, SCAN.

Unit cell a=3.8545 b=3.8545 c=4.1574 alpha=90.00 beta=90.00 gamma=90.00
Closest atoms and distances in Å follow each position.
Fractional positions:
B: 0.0000 0.0000 0.0000  2 Pt 2.08
Mo: 0.5000 0.5000 0.0000  4 B 2.73, 8 C 2.83
Pt: 0.0000 0.0000 0.5000  4 C 1.93, 2 B 2.08
C: 0.0000 0.5000 0.5000  2 Pt 1.93
C: 0.5000 0.0000 0.5000  2 Pt 1.93

Summary:
- density of states at the Fermi level (states/eV per atom) = 0.659
- formation enthalpy at 0 K (eV/atom) = 2.30



No. 12
YB2MoC: single point on PBEsol structure, SCAN.

Unit cell a=4.1120 b=4.1120 c=4.0505 alpha=90.00 beta=90.00 gamma=90.00
Closest atoms and distances in Å follow each position.
Fractional positions:
Y: 0.0000 0.0000 0.0000  8 B 2.89, 4 C 2.91
B: 0.0000 0.5000 0.5000  2 Mo 2.06
B: 0.5000 0.0000 0.5000  2 Mo 2.06
Mo: 0.5000 0.5000 0.5000  2 C 2.03, 4 B 2.06
C: 0.5000 0.5000 0.0000  2 Mo 2.03

Summary:
- density of states at the Fermi level (states/eV per atom) = 0.329
- formation enthalpy at 0 K (eV/atom) = 0.46



no.,ρ (g cm⁻³)
1,9.616
2,10.047
3,7.768
4,1.940
5,2.628
6,2.522
7,4.418
8,4.189
9,3.639
10,8.768
11,8.760
12,5.297